TmZnPd5 after structural relaxation, computed with GGA-PBE.

Values from the calculation:
- Electronic total energy: -5.111 eV/atom
- Density: 10.60 g/cm³
- DFT formation energy: -0.581 eV/atom
- Energy above the most stable polymorph in this dataset: 0.0 meV per atom
- Calculated volume: 120.12 Å³/cell
- Total moment: 0.0000 μB/atom

Structure (POSCAR):
```
TmZnPd5
1.0
4.127 0.000 0.000
0.000 4.127 0.000
0.000 0.000 7.052
Tm Zn Pd
1 1 5
Direct
0.000 0.000 0.500
0.500 0.500 0.000
0.000 0.500 0.784
0.000 0.500 0.216
0.500 0.000 0.784
0.500 0.000 0.216
0.500 0.500 0.500
```